Li5La12Tl3: optimized geometry, PBE.

```
Li5La12Tl3
1.0
15.8570 0.0000 0.0000
-5.2857 14.9501 0.0000
-5.2857 -7.4750 12.9471
La Li Tl
48 20 12
direct
0.0785 0.9168 0.1402
0.2234 0.5617 0.6402
0.4383 0.6617 0.0785
0.9168 0.0785 0.6402
0.6402 0.0617 0.2234
0.8383 0.9215 0.0617
0.4168 0.2766 0.3383
0.9215 0.0832 0.8598
0.1617 0.0785 0.9383
0.0617 0.6402 0.7234
0.5785 0.9383 0.6617
0.7234 0.5832 0.1617
0.2234 0.6617 0.0832
0.7766 0.3383 0.9168
0.8598 0.2766 0.4383
0.2766 0.8598 0.9383
0.0832 0.9215 0.3598
0.8598 0.5832 0.9215
0.3598 0.9383 0.7766
0.3383 0.7766 0.4168
0.4215 0.3598 0.5832
0.3598 0.4215 0.0832
0.5617 0.3383 0.9215
0.6617 0.2234 0.5832
0.5832 0.8598 0.4215
0.0617 0.4215 0.8383
0.9383 0.3598 0.2766
0.9383 0.5785 0.1617
0.0785 0.1617 0.4383
0.8383 0.9168 0.2766
0.5785 0.6402 0.4168
0.1402 0.7234 0.5617
0.7766 0.4383 0.3598
0.5832 0.7234 0.6617
0.4215 0.0617 0.3383
0.4383 0.7766 0.8598
0.1617 0.0832 0.7234
0.3383 0.5617 0.4215
0.9168 0.8383 0.7766
0.9215 0.8383 0.5617
0.0832 0.1617 0.2234
0.7234 0.1402 0.0617
0.4168 0.1402 0.5785
0.2766 0.4168 0.8383
0.6402 0.5785 0.9168
0.5617 0.2234 0.1402
0.1402 0.4168 0.0785
0.6617 0.4383 0.5785
0.8750 0.2500 0.6250
0.0000 0.0000 0.5000
0.3750 0.2500 0.1250
0.7500 0.6250 0.3750
0.5000 0.0000 0.0000
0.1250 0.7500 0.3750
0.7500 0.1250 0.8750
0.0000 0.0000 0.0000
0.5000 0.5000 0.5000
0.2500 0.3750 0.6250
0.5000 0.5000 0.0000
0.8750 0.6250 0.7500
0.0000 0.5000 0.0000
0.6250 0.7500 0.8750
0.2500 0.8750 0.1250
0.0000 0.5000 0.5000
0.6250 0.8750 0.2500
0.5000 0.0000 0.5000
0.1250 0.3750 0.2500
0.3750 0.1250 0.7500
0.6250 0.2500 0.3750
0.7500 0.8750 0.6250
0.8750 0.7500 0.1250
0.1250 0.8750 0.7500
0.6250 0.3750 0.7500
0.2500 0.6250 0.8750
0.3750 0.7500 0.6250
0.7500 0.3750 0.1250
0.8750 0.1250 0.2500
0.2500 0.1250 0.3750
0.3750 0.6250 0.2500
0.1250 0.2500 0.8750
```

Results
ΔE_f = 0.3824 eV/atom
DOS at the Fermi energy = 33.21 states/eV/f.u.
Uncorrected energy = -3.41 eV per atom
V = 38.37 A^3/atom